(1)
Density functional theory data (PBE-GGA) for a geometry-optimized LaBeCo3 structure.

## Properties
Formation energy from the elements (meV per atom): 89
Energy above the lowest structure with this stoichiometry (meV/atom): 0.0
V (Å³ per cell): 70.8
VASP energy (eV/cell): -29.5

Lattice parameters (Å, degrees): 4.137 4.137 4.137 90.00 90.00 90.00
Site moments in Bohr magnetons follow the coordinates.
Sites, in units of the cell vectors:
Be 0.000 0.000 0.000  -0.06
Co 0.000 0.500 0.000  0.76
Co 0.000 0.000 0.500  0.79
Co 0.500 0.000 0.000  0.63
La 0.500 0.500 0.500  -0.16

***

(2)
Density functional theory data (PBE-GGA) for a geometry-optimized Co2PbAu structure.

## Properties
Formation energy from the elements (meV per atom): 410
V (Å³ per cell): 63.1
VASP energy (eV/cell): -19.6

Lattice parameters (Å, degrees): 3.263 4.398 4.398 90.00 90.00 90.00
Site moments in Bohr magnetons follow the coordinates.
Sites, in units of the cell vectors:
Au 0.500 0.000 0.500  0.01
Co 0.000 0.000 0.000  1.24
Co 0.000 0.500 0.500  1.24
Pb 0.500 0.500 0.000  -0.04

***

(3)
Density functional theory data (PBE-GGA) for a geometry-optimized CsNd2H structure.

## Properties
V (Å³ per cell): 131.3
VASP energy (eV/cell): -13.4

Lattice parameters (Å, degrees): 3.809 3.809 10.677 79.72 79.72 60.00
Sites, in units of the cell vectors:
Cs 0.000 0.000 0.000
H 0.500 0.500 0.500
Nd 0.123 0.123 0.631
Nd 0.877 0.877 0.369

***

(4)
Density functional theory data (PBE-GGA) for a geometry-optimized BaCdNiOs2 structure.

## Properties
Formation energy from the elements (meV per atom): 2855
V (Å³ per cell): 125.6
VASP energy (eV/cell): -16.8

Lattice parameters (Å, degrees): 5.120 4.792 5.120 90.00 90.00 90.00
Site moments in Bohr magnetons follow the coordinates.
Sites, in units of the cell vectors:
Ni 0.000 0.500 0.000  0.17
Os 0.000 0.000 0.500  0.86
Os 0.500 0.000 0.000  0.87
Ba 0.000 0.000 0.000  -0.05
Cd 0.500 0.500 0.500  -0.02

***

(5)
Density functional theory data (PBE-GGA) for a geometry-optimized TbTmSc4 structure.

## Properties
Formation energy from the elements (meV per atom): 34
Energy above the lowest structure with this stoichiometry (meV/atom): 0.0
V (Å³ per cell): 317.9
VASP energy (eV/cell): -68.4

Lattice parameters (Å, degrees): 3.370 8.875 10.826 90.00 90.00 100.94
Sites, in units of the cell vectors:
Tb 0.663 0.327 0.764
Tb 0.337 0.673 0.264
Tm 0.780 0.560 0.520
Tm 0.220 0.440 0.020
Sc 0.003 0.007 0.269
Sc 0.997 0.993 0.769
Sc 0.892 0.785 0.014
Sc 0.108 0.215 0.514
Sc 0.663 0.327 0.272
Sc 0.337 0.673 0.772
Sc 0.448 0.896 0.521
Sc 0.552 0.104 0.021

***

(6)
Density functional theory data (PBE-GGA) for a geometry-optimized Zr8Sn2Ge structure.

## Properties
Formation energy from the elements (meV per atom): -288
V (Å³ per cell): 251.7
VASP energy (eV/cell): -84.2

Lattice parameters (Å, degrees): 4.869 5.876 9.460 105.26 104.91 90.00
Sites, in units of the cell vectors:
Zr 0.411 0.501 0.822
Zr 0.651 0.038 0.303
Zr 0.769 0.667 0.538
Zr 0.983 0.236 0.965
Zr 0.231 0.333 0.462
Zr 0.349 0.962 0.697
Zr 0.589 0.499 0.178
Zr 0.017 0.764 0.035
Sn 0.823 0.234 0.646
Sn 0.177 0.766 0.354
Ge 0.500 0.000 0.000

***

V of number 4 (BaCdNiOs2)?
125.6 Å³ per cell